[1]
Computed, not measured: an optimized crystal structure of K4SrCl6 at the PBE level of DFT.

Properties
For the raw formation energy, the calculation gives -2.07 eV per atom.

Structure (POSCAR):
```
K4SrCl6
1.0
-8.537 0.151 2.694
2.544 -2.750 8.131
0.947 8.511 2.611
K Sr Cl
8 2 12
Cartesian
-2.736 1.864 2.635
-6.540 2.706 5.412
-0.454 -0.664 5.995
-0.788 5.734 4.665
-4.258 0.178 8.772
-4.591 6.576 7.441
1.495 3.206 8.024
-2.309 4.048 10.801
-2.523 2.956 6.718
0.000 0.000 0.000
-5.718 0.605 2.529
0.173 -0.350 2.834
-3.611 0.526 5.673
-7.204 5.847 4.983
-3.705 4.458 4.590
-0.168 2.644 5.125
-4.878 3.268 8.311
-1.340 1.454 8.846
2.159 0.065 8.454
-1.435 5.386 7.764
-5.218 6.262 10.603
0.672 5.307 10.907
```

[2]
Computed, not measured: an optimized crystal structure of La7Al2Au2 at the PBE level of DFT.

Properties
The calculation puts the total DFT energy (no corrections) at -4.689 eV/atom.

Structure (POSCAR):
```
La7Al2Au2
1.0
7.008 -0.003 -0.828
0.004 7.337 0.003
-1.263 -0.002 6.943
La Al Au
7 2 2
Cartesian
-0.630 2.125 3.473
3.507 5.209 -0.412
6.380 5.207 2.646
2.242 2.123 6.530
0.000 0.000 0.000
2.875 5.224 3.060
2.874 2.108 3.059
4.855 3.664 5.167
0.895 3.668 0.952
4.622 -0.003 1.414
1.127 7.335 4.704
```

[3]
Computed, not measured: an optimized crystal structure of PPbCl2 at the PBE level of DFT.

Properties
For the raw formation energy, the calculation gives 0.23 eV per atom.

Structure (POSCAR):
```
PPbCl2
1.0
-3.407 4.650 -7.355
-4.158 1.465 -8.239
-6.234 3.189 -6.188
Cl P Pb
2 1 1
Cartesian
-13.731 9.259 -21.675
-6.968 4.698 -10.998
-3.450 2.326 -5.445
-10.349 6.978 -16.336
```

[4]
Computed, not measured: an optimized crystal structure of Ac8LaIr4 at the PBE level of DFT.

Properties
The calculation puts the total DFT energy (no corrections) at -6.120 eV/atom.

Structure (POSCAR):
```
Ac8LaIr4
1.0
4.351 0.000 0.909
2.175 10.581 0.455
0.011 0.000 10.812
Ac La Ir
8 1 4
Cartesian
1.450 0.423 3.925
5.087 10.158 8.251
4.264 7.036 1.323
2.273 3.546 10.853
0.836 3.073 6.866
5.702 7.509 5.311
3.722 4.032 3.917
2.815 6.550 8.259
0.000 0.000 0.000
3.215 8.756 6.346
3.322 1.825 5.830
4.735 5.027 9.935
1.802 5.554 2.241
```

[5]
Computed, not measured: an optimized crystal structure of ScWCl2 at the PBE level of DFT.

Properties
For the raw formation energy, the calculation gives -0.43 eV per atom.

Structure (POSCAR):
```
ScWCl2
1.0
-2.362 1.793 -0.967
-0.885 -2.509 1.628
0.537 5.108 8.163
Sc W Cl
1 1 2
Cartesian
0.272 2.591 4.141
-1.225 3.436 6.394
0.501 4.762 7.611
-1.453 1.264 2.923
```

[6]
Computed, not measured: an optimized crystal structure of Cs3Tl3Cd2 at the PBE level of DFT.

Properties
The calculation puts the total DFT energy (no corrections) at -1.496 eV/atom.

Structure (POSCAR):
```
Cs3Tl3Cd2
1.0
-4.857 0.548 -1.968
4.937 -1.545 -5.559
-3.126 -18.858 2.465
Cs Tl Cd
6 6 4
Cartesian
-1.391 -8.333 -5.940
-2.564 -17.003 1.594
-0.482 -2.852 -6.657
-1.656 -11.522 0.878
-2.567 -4.766 -2.045
-0.479 -15.089 -3.018
-2.993 -8.905 -2.146
-1.386 -18.984 -1.866
-1.661 -0.871 -3.197
-0.054 -10.950 -2.916
0.899 -5.566 -3.769
-3.946 -14.289 -1.293
-3.903 -17.177 -2.205
-0.021 -7.966 -2.166
-3.026 -11.889 -2.896
0.856 -2.678 -2.858
```

[7]
Computed, not measured: an optimized crystal structure of La4AlTc at the PBE level of DFT.

Properties
The calculation puts the total DFT energy (no corrections) at -4.874 eV/atom.

Structure (POSCAR):
```
La4AlTc
1.0
-2.580 -5.287 -2.198
-5.117 -2.379 2.756
-5.538 0.201 -2.955
La Al Tc
4 1 1
Cartesian
-6.255 -5.434 -1.994
-7.727 -2.704 -2.371
-7.517 -3.987 0.471
-4.971 -2.804 -0.900
0.000 0.000 0.000
-9.926 -5.599 -1.798
```

[8]
Computed, not measured: an optimized crystal structure of MnTe2W at the PBE level of DFT.

Properties
For the raw formation energy, the calculation gives 0.67 eV per atom.

Structure (POSCAR):
```
MnTe2W
1.0
-1.312 -3.679 2.515
1.020 -0.201 4.528
-3.376 0.432 3.163
Mn Te W
1 2 1
Cartesian
0.000 0.000 0.000
-0.917 -0.862 2.552
-2.750 -2.586 7.655
-1.834 -1.724 5.103
```